# 1
Computed, not measured: crystalline Sm6Au5 at its relaxed geometry at the GGA-PBE level of DFT.

Structure (CIF):
```
data_Sm6Au5
_symmetry_space_group_name_H-M 'I m m m'
_symmetry_Int_Tables_number 71
_symmetry_space_group_name_Hall '-I 2 2'
_cell_length_a 5.159
_cell_length_b 7.334
_cell_length_c 15.456
_cell_angle_alpha 90.00
_cell_angle_beta 90.00
_cell_angle_gamma 90.00
loop_
_atom_site_label
_atom_site_fract_x
_atom_site_fract_y
_atom_site_fract_z
_atom_site_occupancy
Sm1 0.000 0.248 0.000 1
Sm2 0.000 0.250 0.334 1
Au1 0.000 0.000 0.169 1
Au2 0.000 0.500 0.160 1
Au3 0.000 0.500 0.500 1
```

Output
energy of formation	-0.69	eV/atom
Fermi-level density of states	18.41	states/eV per cell
total DFT energy (no corrections)	-4.7532	eV/atom
mass density	10.7	g/cm³

# 2
Computed, not measured: crystalline NaTb2Sn3Se6 at its relaxed geometry at the GGA-PBE level of DFT.

Structure (CIF):
```
data_NaTb2Sn3Se6
_symmetry_space_group_name_H-M 'C 1 2/m 1'
_symmetry_Int_Tables_number 12
_cell_length_a 18.523
_cell_length_b 4.343
_cell_length_c 8.422
_cell_angle_alpha 90.00
_cell_angle_beta 103.89
_cell_angle_gamma 90.00
loop_
_symmetry_equiv_pos_as_xyz
'x,y,z'
'-x,-y,-z'
'-x,y,-z'
'x,-y,z'
'x+1/2,y+1/2,z'
'-x+1/2,-y+1/2,-z'
'-x+1/2,y+1/2,-z'
'x+1/2,-y+1/2,z'
loop_
_atom_site_label
_atom_site_fract_x
_atom_site_fract_y
_atom_site_fract_z
_atom_site_occupancy
Na1 0.000 0.000 0.000 1
Tb1 0.167 0.500 0.331 1
Sn1 0.000 0.000 0.500 1
Sn2 0.159 0.500 0.856 1
Se1 0.009 0.500 0.254 1
Se2 0.170 0.000 0.567 1
Se3 0.173 0.000 0.095 1
```

Output
formation energy from raw total energies	-1008	meV/atom
Fermi-level density of states	5.93	states/eV per cell
total DFT energy (no corrections)	-4.6327	eV/atom
mass density	5.9	g/cm³

# 3
Computed, not measured: crystalline CuP2RhS at its relaxed geometry at the GGA-PBE level of DFT.

Structure (CIF):
```
data_CuP2RhS
_symmetry_space_group_name_H-M 'P 4/m m m'
_symmetry_Int_Tables_number 123
_symmetry_space_group_name_Hall '-P 4 2'
_cell_length_a 4.438
_cell_length_b 4.438
_cell_length_c 5.100
_cell_angle_alpha 90.00
_cell_angle_beta 90.00
_cell_angle_gamma 90.00
loop_
_atom_site_label
_atom_site_fract_x
_atom_site_fract_y
_atom_site_fract_z
_atom_site_occupancy
Cu1 0.000 0.000 0.000 1
P1 0.000 0.500 0.500 1
Rh1 0.500 0.500 0.500 1
S1 0.500 0.500 0.000 1
```

Output
formation energy from raw total energies	766	meV/atom
Fermi-level density of states	4.01	states/eV per cell
total DFT energy (no corrections)	-4.5128	eV/atom
mass density	4.3	g/cm³